{
  "formula": "RbGdHgTe3",
  "functional": "GGA-PBE",
  "state": "optimized geometry",
  "volume_a3_per_atom": 36.54,
  "spacegroup": "Cmcm (63)",
  "energy_ev_per_atom": -3.54,
  "relative_energy_mev_per_atom": 0,
  "lattice_angstrom": [[2.255, -8.235, 0.000], [2.255, 8.235, 0.000], [0.000, 0.000, 11.805]],
  "species": ["Rb", "Rb", "Gd", "Gd", "Hg", "Hg", "Te", "Te", "Te", "Te", "Te", "Te"],
  "fractional_positions": [[0.245, 0.755, 0.750], [0.755, 0.245, 0.250], [0.000, 0.000, 0.000], [0.000, 0.000, 0.500], [0.459, 0.541, 0.250], [0.541, 0.459, 0.750], [0.072, 0.928, 0.250], [0.371, 0.629, 0.046], [0.371, 0.629, 0.454], [0.629, 0.371, 0.546], [0.629, 0.371, 0.954], [0.928, 0.072, 0.750]]
}

---

{
  "formula": "PaZnTe",
  "functional": "GGA-PBE",
  "state": "optimized geometry",
  "volume_a3_per_atom": 29.11,
  "spacegroup": "F-43m (216)",
  "energy_ev_per_atom": -4.59,
  "relative_energy_mev_per_atom": 0,
  "lattice_angstrom": [[0.000, 3.521, 3.521], [3.521, 0.000, 3.521], [3.521, 3.521, 0.000]],
  "species": ["Pa", "Zn", "Te"],
  "fractional_positions": [[0.000, 0.000, 0.000], [0.250, 0.250, 0.250], [0.750, 0.750, 0.750]]
}

---

{
  "formula": "LaAuNO",
  "functional": "GGA-PBE",
  "state": "optimized geometry",
  "volume_a3_per_atom": 16.10,
  "spacegroup": "Pca2_1 (29)",
  "energy_ev_per_atom": -6.48,
  "relative_energy_mev_per_atom": 0,
  "lattice_angstrom": [[5.913, 0.000, 0.000], [0.000, 7.249, 0.000], [0.000, 0.000, 6.012]],
  "species": ["La", "La", "La", "La", "Au", "Au", "Au", "Au", "N", "N", "N", "N", "O", "O", "O", "O"],
  "fractional_positions": [[0.027, 0.157, 0.000], [0.473, 0.157, 0.500], [0.527, 0.843, 0.000], [0.973, 0.843, 0.500], [0.032, 0.578, 0.005], [0.468, 0.578, 0.505], [0.532, 0.422, 0.005], [0.968, 0.422, 0.505], [0.247, 0.425, 0.256], [0.253, 0.425, 0.756], [0.747, 0.575, 0.256], [0.753, 0.575, 0.756], [0.250, 0.981, 0.250], [0.250, 0.981, 0.750], [0.750, 0.019, 0.250], [0.750, 0.019, 0.750]]
}

---

Q: Number 3 is which compound?
A: LaAuNO